# 1
Below is an optimized crystal structure of CuMo2PH, with properties calculated at the PBE level.

Results
DOS(E_F) = 4.36 states/eV/cell
Energy = -33.73 eV per cell
Magnetization = 0.00 μB/f.u.
Space-group type = P4/mmm

Cell: 4.1976 4.1976 3.2604 Å, 90.00 90.00 90.00°
Fractional positions:
Cu1 0.0000 0.0000 0.0000
Mo1 0.0000 0.5000 0.5000
Mo2 0.5000 0.0000 0.5000
P1 0.5000 0.5000 0.0000
H1 0.0000 0.0000 0.5000



# 2
Below is an optimized crystal structure of CuMo2HPd, with properties calculated at the PBE level.

Results
DOS(E_F) = 4.32 states/eV/cell
Energy = -33.61 eV per cell
Magnetization = 0.00 μB/f.u.
Space-group type = P4/mmm

Cell: 3.8379 3.8379 4.1849 Å, 90.00 90.00 90.00°
Fractional positions:
Cu1 0.0000 0.0000 0.0000
Mo1 0.0000 0.5000 0.5000
Mo2 0.5000 0.0000 0.5000
H1 0.0000 0.0000 0.5000
Pd1 0.5000 0.5000 0.0000



# 3
Below is an optimized crystal structure of CuMo2HPt, with properties calculated at the PBE level.

Results
DOS(E_F) = 3.44 states/eV/cell
Magnetization = 0.00 μB/f.u.
Distance to the lowest polymorph of the same formula = 0 meV per atom
Space-group type = P4/mmm

Cell: 3.8574 3.8574 4.1500 Å, 90.00 90.00 90.00°
Fractional positions:
Cu1 0.0000 0.0000 0.0000
Mo1 0.0000 0.5000 0.5000
Mo2 0.5000 0.0000 0.5000
H1 0.0000 0.0000 0.5000
Pt1 0.5000 0.5000 0.0000



# 4
Below is an optimized crystal structure of RbCuMo2H, with properties calculated at the PBE level.

Results
DOS(E_F) = 3.55 states/eV/cell
Energy = -23.96 eV per cell
Magnetization = 0.63 μB/f.u.
Space-group type = P4/mmm

Cell: 3.9176 3.9176 5.5692 Å, 90.00 90.00 90.00°
Fractional positions:
Rb1 0.0000 0.0000 0.0000
Cu1 0.5000 0.5000 0.0000
Mo1 0.0000 0.5000 0.5000
Mo2 0.5000 0.0000 0.5000
H1 0.0000 0.0000 0.5000



# 5
Below is an optimized crystal structure of Cu2SiMoH, with properties calculated at the PBE level.

Results
DOS(E_F) = 2.64 states/eV/cell
Magnetization = 0.00 μB/f.u.
Distance to the lowest polymorph of the same formula = 0 meV per atom
Space-group type = P4/mmm

Cell: 3.6803 3.6803 4.0542 Å, 90.00 90.00 90.00°
Fractional positions:
Cu1 0.0000 0.5000 0.0000
Cu2 0.5000 0.0000 0.0000
Si1 0.0000 0.0000 0.5000
Mo1 0.5000 0.5000 0.5000
H1 0.5000 0.5000 0.0000



# 6
Below is an optimized crystal structure of Cu2SiMoH, with properties calculated at the PBE level.

Results
DOS(E_F) = 2.09 states/eV/cell
Magnetization = 0.83 μB/f.u.
Distance to the lowest polymorph of the same formula = 671 meV per atom
Space-group type = P4/mmm

Cell: 4.6426 4.6426 2.9535 Å, 90.00 90.00 90.00°
Fractional positions:
Cu1 0.0000 0.5000 0.0000
Cu2 0.5000 0.0000 0.0000
Si1 0.0000 0.0000 0.0000
Mo1 0.5000 0.5000 0.5000
H1 0.0000 0.0000 0.5000



# 7
Below is an optimized crystal structure of TaCuMo2H, with properties calculated at the PBE level.

Results
DOS(E_F) = 2.42 states/eV/cell
Magnetization = 0.00 μB/f.u.
Distance to the lowest polymorph of the same formula = 14 meV per atom
Space-group type = P4/mmm

Cell: 3.9607 3.9607 4.0880 Å, 90.00 90.00 90.00°
Fractional positions:
Ta1 0.0000 0.0000 0.0000
Cu1 0.5000 0.5000 0.0000
Mo1 0.0000 0.5000 0.5000
Mo2 0.5000 0.0000 0.5000
H1 0.5000 0.5000 0.5000



# 8
Below is an optimized crystal structure of TaCuMo2H, with properties calculated at the PBE level.

Results
DOS(E_F) = 1.68 states/eV/cell
Magnetization = 0.00 μB/f.u.
Distance to the lowest polymorph of the same formula = 0 meV per atom
Space-group type = P4/mmm

Cell: 3.9477 3.9477 4.1325 Å, 90.00 90.00 90.00°
Fractional positions:
Ta1 0.0000 0.0000 0.0000
Cu1 0.5000 0.5000 0.0000
Mo1 0.0000 0.5000 0.5000
Mo2 0.5000 0.0000 0.5000
H1 0.0000 0.0000 0.5000



# 9
Below is an optimized crystal structure of CuTcMo2H, with properties calculated at the PBE level.

Results
DOS(E_F) = 3.19 states/eV/cell
Magnetization = 0.00 μB/f.u.
Distance to the lowest polymorph of the same formula = 0 meV per atom
Space-group type = P4/mmm

Cell: 3.9511 3.9511 3.8967 Å, 90.00 90.00 90.00°
Fractional positions:
Cu1 0.0000 0.0000 0.0000
Tc1 0.5000 0.5000 0.0000
Mo1 0.0000 0.5000 0.5000
Mo2 0.5000 0.0000 0.5000
H1 0.5000 0.5000 0.5000



# 10
Below is an optimized crystal structure of CuTcMo2H, with properties calculated at the PBE level.

Results
DOS(E_F) = 2.55 states/eV/cell
Magnetization = 0.00 μB/f.u.
Distance to the lowest polymorph of the same formula = 5 meV per atom
Space-group type = P4/mmm

Cell: 3.9737 3.9737 3.8266 Å, 90.00 90.00 90.00°
Fractional positions:
Cu1 0.0000 0.0000 0.0000
Tc1 0.5000 0.5000 0.0000
Mo1 0.0000 0.5000 0.5000
Mo2 0.5000 0.0000 0.5000
H1 0.0000 0.0000 0.5000



# 11
Below is an optimized crystal structure of CuTcMoH2, with properties calculated at the PBE level.

Results
DOS(E_F) = 3.82 states/eV/cell
Energy = -27.50 eV per cell
Magnetization = 0.44 μB/f.u.
Space-group type = P4/mmm

Cell: 3.5536 3.5536 4.8627 Å, 90.00 90.00 90.00°
Fractional positions:
Cu1 0.0000 0.0000 0.0000
Tc1 0.5000 0.5000 0.5000
Mo1 0.5000 0.5000 0.0000
H1 0.0000 0.5000 0.5000
H2 0.5000 0.0000 0.5000



# 12
Below is an optimized crystal structure of Cu2TeMoH, with properties calculated at the PBE level.

Results
DOS(E_F) = 2.72 states/eV/cell
Energy = -19.90 eV per cell
Magnetization = 3.72 μB/f.u.
Space-group type = P4/mmm

Cell: 4.9605 4.9605 3.5629 Å, 90.00 90.00 90.00°
Fractional positions:
Cu1 0.0000 0.5000 0.0000
Cu2 0.5000 0.0000 0.0000
Te1 0.0000 0.0000 0.0000
Mo1 0.5000 0.5000 0.5000
H1 0.0000 0.0000 0.5000